Record 1
The following is a PBE-GGA calculation of a geometry-optimized SrBi3Au structure, from Alexandria.

Calculated values
The formation energy is -34 kJ/mol of formula units. The calculation puts the total energy at -3.3899 eV per atom. The crystal system is cubic.

Cell lengths 5.645, 5.645, 5.645 Å; angles 90.00, 90.00, 90.00 degrees
Positions (direct):
Sr 0.500 0.500 0.500
Bi 0.500 0.000 0.000
Bi 0.000 0.500 0.000
Bi 0.000 0.000 0.500
Au 0.000 0.000 0.000

Record 2
The following is a PBE-GGA calculation of a geometry-optimized BaHoCu2Cl8 structure, from Alexandria.

Calculated values
The formation energy from raw total energies is -147.04 kJ per mole of atoms. The calculation puts the total energy at -3.9795 eV per atom. The crystal system is trigonal.

Cell lengths 6.402, 6.402, 9.049 Å; angles 90.00, 90.00, 120.00 degrees
Each line ends with the local moment (μB).
Positions (direct):
Ho 0.000 0.000 0.500  0.01
Cl 0.677 0.988 0.315  0.02
Cl 0.689 0.677 0.685  0.02
Cl 0.333 0.667 0.992  0.08
Cl 0.988 0.311 0.685  0.02
Cl 0.323 0.012 0.685  0.02
Cl 0.667 0.333 0.008  0.08
Cl 0.012 0.689 0.315  0.02
Cl 0.311 0.323 0.315  0.02
Cu 0.667 0.333 0.255  0.35
Cu 0.333 0.667 0.745  0.35
Ba 0.000 0.000 0.000  0.00

Record 3
The following is a PBE-GGA calculation of a geometry-optimized YTcRu structure, from Alexandria.

Calculated values
The formation energy is 18 kJ/mol of formula units. The calculation puts the total energy at -8.6409 eV per atom. The crystal system is tetragonal.

Cell lengths 6.272, 6.272, 3.087 Å; angles 75.75, 75.76, 28.50 degrees
Positions (direct):
Tc 0.639 0.639 0.361
Ru 0.027 0.027 0.973
Y 0.334 0.334 0.666

Record 4
The following is a PBE-GGA calculation of a geometry-optimized TmSc2H6 structure, from Alexandria.

Calculated values
The calculation puts the total energy at -4.8245 eV per atom. The crystal system is monoclinic.

Cell lengths 3.445, 4.835, 5.970 Å; angles 113.89, 106.91, 90.00 degrees
Positions (direct):
H 0.500 0.734 0.000
H 0.830 0.571 0.659
H 0.170 0.429 0.341
H 0.500 0.266 0.000
H 0.830 0.088 0.659
H 0.170 0.912 0.341
Sc 0.670 0.670 0.339
Sc 0.330 0.330 0.661
Tm 0.000 0.000 0.000

Record 5
The following is a PBE-GGA calculation of a geometry-optimized Li4Th3Se8 structure, from Alexandria.

Calculated values
The formation energy from raw total energies is -144.28 kJ per mole of atoms. The calculation puts the total energy at -5.3481 eV per atom. The crystal system is trigonal.

Cell lengths 8.455, 8.455, 8.440 Å; angles 59.94, 59.94, 60.00 degrees
Positions (direct):
Li 0.500 0.500 0.500
Li 0.367 0.367 0.898
Li 0.633 0.633 0.102
Li 0.000 0.000 0.000
Th 0.500 0.000 0.500
Th 0.000 0.500 0.500
Th 0.000 0.000 0.500
Se 0.755 0.755 0.734
Se 0.245 0.245 0.266
Se 0.253 0.760 0.734
Se 0.760 0.253 0.734
Se 0.240 0.747 0.266
Se 0.747 0.240 0.266
Se 0.253 0.253 0.734
Se 0.747 0.747 0.266

Record 6
The following is a PBE-GGA calculation of a geometry-optimized BaSmEuTl structure, from Alexandria.

Calculated values
The formation energy is -8 kJ/mol of formula units. The calculation puts the total energy at -4.8421 eV per atom. The crystal system is cubic.

Cell lengths 5.907, 5.907, 5.907 Å; angles 60.00, 60.00, 60.00 degrees
Each line ends with the local moment (μB).
Positions (direct):
Sm 0.250 0.250 0.250  0.06
Eu 0.500 0.500 0.500  6.92
Ba 0.750 0.750 0.750  0.03
Tl 0.000 0.000 0.000  -0.03

| no. | mass density (g/cm³) |
| --- | --- |
| 1 | 8.41 |
| 2 | 3.69 |
| 3 | 8.53 |
| 4 | 5.10 |
| 5 | 5.28 |
| 6 | 7.34 |